# 1
Sm3In2Pd: relaxed, PBE.

POSCAR file:
```
Sm3In2Pd
1.0
3.608 0.000 0.000
0.000 3.608 0.000
0.000 0.000 12.131
Pd In Sm
1 2 3
Direct
0.500 0.500 0.500
0.500 0.500 0.177
0.500 0.500 0.823
0.000 0.000 0.355
0.000 0.000 0.645
0.000 0.000 0.000
```

Fermi-level density of states	3.98	states/eV/f.u.
E_tot	-4.72	eV per atom
ΔE_f	-3.51	eV/f.u.



# 2
SmIn2Pd3: relaxed, PBE.

POSCAR file:
```
SmIn2Pd3
1.0
4.650 0.000 0.000
-2.325 4.027 0.000
0.000 0.000 12.884
Pd In Sm
6 4 2
Direct
0.333 0.667 0.365
0.000 0.000 0.000
0.667 0.333 0.865
0.333 0.667 0.135
0.000 0.000 0.500
0.667 0.333 0.635
0.333 0.667 0.582
0.333 0.667 0.918
0.667 0.333 0.082
0.667 0.333 0.418
0.000 0.000 0.250
0.000 0.000 0.750
```

Fermi-level density of states	3.22	states/eV/f.u.
E_tot	-5.00	eV per atom
ΔE_f	-4.23	eV/f.u.



# 3
Sm5InPd2: relaxed, PBE.

POSCAR file:
```
Sm5InPd2
1.0
-5.756 0.015 5.621
-2.051 -7.496 -2.080
8.338 1.265 2.777
Sm Pd In
10 4 2
Direct
0.500 0.500 0.000
0.800 0.982 0.282
0.700 0.200 0.718
0.518 0.700 0.718
0.482 0.300 0.282
0.200 0.018 0.718
0.982 0.482 0.282
0.300 0.800 0.282
0.000 0.000 0.000
0.018 0.518 0.718
0.632 0.132 0.000
0.868 0.632 0.000
0.368 0.868 0.000
0.132 0.368 0.000
0.750 0.750 0.500
0.250 0.250 0.500
```

Fermi-level density of states	8.98	states/eV/f.u.
E_tot	-5.13	eV per atom
ΔE_f	-4.34	eV/f.u.



# 4
SmIn2Pd5: relaxed, PBE.

POSCAR file:
```
SmIn2Pd5
1.0
4.208 0.000 0.000
2.104 6.831 1.908
2.104 3.130 6.365
Pd Sm In
5 1 2
Direct
0.388 0.371 0.853
0.000 0.500 0.500
0.612 0.629 0.147
0.388 0.853 0.371
0.612 0.147 0.629
0.000 0.000 0.000
0.785 0.715 0.715
0.215 0.285 0.285
```

Fermi-level density of states	3.72	states/eV/f.u.
E_tot	-5.13	eV per atom
ΔE_f	-4.85	eV/f.u.



# 5
Sm2In3Pd7: relaxed, PBE.

POSCAR file:
```
Sm2In3Pd7
1.0
4.647 0.000 0.000
0.000 4.900 -0.585
0.000 -1.152 11.205
In Pd Sm
3 7 2
Direct
0.000 0.862 0.723
0.500 0.500 0.000
0.000 0.138 0.277
0.000 0.000 0.000
0.000 0.431 0.860
0.500 0.932 0.862
0.500 0.787 0.574
0.500 0.068 0.138
0.000 0.569 0.140
0.500 0.213 0.426
0.500 0.347 0.694
0.500 0.653 0.306
```

Fermi-level density of states	6.36	states/eV/f.u.
E_tot	-5.02	eV per atom
ΔE_f	-6.18	eV/f.u.



# 6
SmIn9Pd2: relaxed, PBE.

POSCAR file:
```
SmIn9Pd2
1.0
6.475 0.000 2.981
3.238 9.018 1.491
-0.534 0.000 9.682
In Pd Sm
18 4 2
Direct
0.970 0.700 0.941
0.662 0.200 0.559
0.138 0.441 0.200
0.138 0.200 0.441
0.970 0.941 0.700
0.612 0.300 0.059
0.750 0.500 0.500
0.612 0.059 0.300
0.330 0.700 0.059
0.662 0.559 0.200
0.420 0.441 0.800
0.420 0.800 0.441
0.088 0.941 0.300
0.780 0.800 0.559
0.000 0.000 0.000
0.088 0.300 0.941
0.330 0.059 0.700
0.780 0.559 0.800
0.875 0.250 0.750
0.375 0.750 0.750
0.875 0.750 0.250
0.875 0.250 0.250
0.500 0.000 0.000
0.250 0.500 0.500
```

Fermi-level density of states	4.58	states/eV/f.u.
E_tot	-3.50	eV per atom
ΔE_f	-2.26	eV/f.u.



# 7
SmIn3Pd: relaxed, PBE.

POSCAR file:
```
SmIn3Pd
1.0
4.477 0.000 0.000
0.000 9.051 0.000
0.000 0.000 11.750
In Pd Sm
12 4 4
Direct
0.250 0.895 0.813
0.750 0.142 0.790
0.750 0.105 0.187
0.250 0.566 0.088
0.750 0.605 0.313
0.250 0.395 0.687
0.750 0.934 0.588
0.750 0.434 0.912
0.250 0.066 0.412
0.250 0.858 0.210
0.250 0.358 0.290
0.750 0.642 0.710
0.250 0.102 0.645
0.750 0.398 0.145
0.250 0.602 0.855
0.750 0.898 0.355
0.750 0.806 0.009
0.250 0.694 0.509
0.250 0.194 0.991
0.750 0.306 0.491
```

Fermi-level density of states	2.18	states/eV/f.u.
E_tot	-4.15	eV per atom
ΔE_f	-2.60	eV/f.u.



# 8
SmInPd: relaxed, PBE.

POSCAR file:
```
SmInPd
1.0
-3.396 1.115 1.462
0.641 -5.466 5.661
6.421 9.052 8.012
Sm In Pd
6 6 6
Direct
0.000 0.229 0.953
0.000 0.229 0.547
0.000 0.771 0.453
0.000 0.771 0.047
0.000 0.848 0.750
0.000 0.152 0.250
0.500 0.430 0.385
0.500 0.570 0.615
0.500 0.430 0.115
0.500 0.194 0.750
0.500 0.570 0.885
0.500 0.806 0.250
0.500 0.937 0.903
0.000 0.452 0.750
0.500 0.063 0.097
0.000 0.548 0.250
0.500 0.063 0.403
0.500 0.937 0.597
```

Fermi-level density of states	1.93	states/eV/f.u.
E_tot	-4.99	eV per atom
ΔE_f	-2.31	eV/f.u.